ZrTlBr2 | GGA-PBEsol | relaxed

Cell: 3.4216 4.7997 5.7562 Å, 90.00 90.00 90.00°
Last column: nearest neighbours and their distance in Å.
Positions (direct):
Zr  0.0000  0.0000  0.0000  4 Br 2.95
Tl  0.5000  0.0000  0.5000  4 Br 2.95
Br  0.0000  0.5000  0.5000  4 Tl 2.95
Br  0.5000  0.5000  0.0000  4 Zr 2.95

Formation energy without anion corrections   -6.675 kcal/mol of atoms
Crystal system   orthorhombic
Fermi-level density of states   0.61 states/eV/atom

---

ZrTlBr2 | GGA-PBEsol | relaxed

Cell: 3.7118 3.7118 7.1469 Å, 90.00 90.00 90.00°
Last column: nearest neighbours and their distance in Å.
Positions (direct):
Zr  0.0000  0.0000  0.0000  5 Br 2.71-2.76
Tl  0.5000  0.5000  0.6864  5 Br 3.09-3.42, 4 Zr 3.45
Br  0.0000  0.0000  0.3789  1 Zr 2.71
Br  0.5000  0.5000  0.1190  4 Zr 2.76

Formation energy without anion corrections   -12.499 kcal/mol of atoms
Crystal system   tetragonal
Fermi-level density of states   0.49 states/eV/atom

---

ZrTlBr2 | GGA-PBEsol | relaxed

Cell: 4.6621 4.6621 8.4732 Å, 90.00 90.00 90.00°
Last column: nearest neighbours and their distance in Å.
Positions (direct):
Zr  0.0000  0.0000  0.0000  8 Br 3.15, 4 Tl 3.30
Zr  0.5000  0.5000  0.5000  8 Br 3.15, 4 Tl 3.30
Tl  0.0000  0.0000  0.5000  8 Br 3.15, 4 Zr 3.30
Tl  0.5000  0.5000  0.0000  8 Br 3.15, 4 Zr 3.30
Br  0.0000  0.5000  0.2500  4 Zr 3.15, 4 Tl 3.15, 4 Br 3.30
Br  0.0000  0.5000  0.7500  4 Zr 3.15, 4 Tl 3.15, 4 Br 3.30
Br  0.5000  0.0000  0.2500  4 Zr 3.15, 4 Tl 3.15, 4 Br 3.30
Br  0.5000  0.0000  0.7500  4 Zr 3.15, 4 Tl 3.15, 4 Br 3.30

Formation energy without anion corrections   -5.337 kcal/mol of atoms
Crystal system   tetragonal
Fermi-level density of states   0.59 states/eV/atom

---

UBr5 | GGA-PBEsol | relaxed

Cell: 6.8230 7.4296 10.2092 Å, 108.47 90.67 116.16°
Last column: nearest neighbours and their distance in Å.
Positions (direct):
U  0.1039  0.2122  0.2125  6 Br 2.60-2.83
U  0.8961  0.7878  0.7875  6 Br 2.60-2.83
Br  0.0756  0.8145  0.5661  1 U 2.60
Br  0.1165  0.6042  0.8485  1 U 2.61
Br  0.2527  0.1889  0.9535  2 U 2.83
Br  0.3128  0.0064  0.2518  1 U 2.61
Br  0.4531  0.5840  0.3350  1 U 2.61
Br  0.5469  0.4160  0.6650  1 U 2.61
Br  0.6872  0.9936  0.7482  1 U 2.61
Br  0.7473  0.8111  0.0465  2 U 2.83
Br  0.8835  0.3958  0.1515  1 U 2.61
Br  0.9244  0.1855  0.4339  1 U 2.60

Formation energy without anion corrections   -25.534 kcal/mol of atoms
Crystal system   triclinic
Fermi-level density of states   0.82 states/eV/atom

---

VBr2 | GGA-PBEsol | relaxed

Cell: 3.7613 3.7613 6.2561 Å, 90.00 90.00 120.00°
Last column: nearest neighbours and their distance in Å.
Positions (direct):
V  0.0000  0.0000  0.0000  6 Br 2.60
Br  0.3333  0.6667  0.2275  3 V 2.60
Br  0.6667  0.3333  0.7725  3 V 2.60

Formation energy without anion corrections   -17.412 kcal/mol of atoms
Crystal system   trigonal

---

WBr6 | GGA-PBEsol | relaxed

Cell: 6.8165 6.8165 6.8165 Å, 55.82 55.82 55.82°
Last column: nearest neighbours and their distance in Å.
Positions (direct):
W  0.0000  0.0000  0.0000  6 Br 2.45
Br  0.0857  0.7661  0.3945  1 W 2.45
Br  0.2339  0.6055  0.9143  1 W 2.45
Br  0.3945  0.0857  0.7661  1 W 2.45
Br  0.6055  0.9143  0.2339  1 W 2.45
Br  0.7661  0.3945  0.0857  1 W 2.45
Br  0.9143  0.2339  0.6055  1 W 2.45

Formation energy without anion corrections   -9.940 kcal/mol of atoms
Crystal system   trigonal

---

Total DFT energy (no corrections) values (in eV per cell) by entry order: -16.6 -17.6 -32.8 -56.3 -15.6 -28.0.